No. 1
Sr2TbInTe5 after structural relaxation, computed with PBE-GGA.

## Properties
Theoretical density = 5.746 Mg/m³
Total energy = -4.18 eV/atom
Crystal system = orthorhombic
Total moment = 0.0000 μB/atom
Formation energy without anion corrections = -1.2409 eV per atom

abc: 10.287 10.287 13.980
angles: 90.00 90.00 154.87
Fractional coordinates of all 18 atoms:
Sr: 0.118 0.882 0.500
Sr: 0.130 0.870 0.139
Sr: 0.870 0.130 0.639
Sr: 0.882 0.118 0.000
Tb: 0.209 0.791 0.841
Tb: 0.791 0.209 0.341
In: 0.443 0.557 0.261
In: 0.557 0.443 0.761
Te: 0.049 0.951 0.884
Te: 0.289 0.711 0.491
Te: 0.310 0.690 0.182
Te: 0.360 0.640 0.822
Te: 0.496 0.504 0.584
Te: 0.504 0.496 0.084
Te: 0.640 0.360 0.322
Te: 0.690 0.310 0.682
Te: 0.711 0.289 0.991
Te: 0.951 0.049 0.384

No. 2
SrTbTlIn after structural relaxation, computed with PBE-GGA.

## Properties
Theoretical density = 7.725 Mg/m³
Total energy = -3.27 eV/atom
Crystal system = tetragonal
Energy of formation from the pure elements = -0.4176 eV per atom
E above lowest polymorph = 0 meV per atom
Total moment = 0.0000 μB/atom

abc: 3.909 3.909 7.959
angles: 90.00 90.00 90.00
Fractional coordinates of all 4 atoms:
Sr: 0.000 0.000 0.000
Tb: 0.000 0.000 0.496
Tl: 0.500 0.500 0.725
In: 0.500 0.500 0.273

No. 3
SrTbTlIn after structural relaxation, computed with PBE-GGA.

## Properties
Theoretical density = 7.727 Mg/m³
Total energy = -3.21 eV/atom
Crystal system = cubic
Energy of formation from the pure elements = -0.3589 eV per atom
E above lowest polymorph = 59 meV per atom
Total moment = 0.0000 μB/atom

abc: 7.864 7.864 7.864
angles: 90.00 90.00 90.00
Fractional coordinates of all 16 atoms:
Sr: 0.000 0.000 0.000
Sr: 0.000 0.500 0.500
Sr: 0.500 0.000 0.500
Sr: 0.500 0.500 0.000
Tb: 0.000 0.000 0.500
Tb: 0.000 0.500 0.000
Tb: 0.500 0.000 0.000
Tb: 0.500 0.500 0.500
Tl: 0.250 0.250 0.250
Tl: 0.250 0.750 0.750
Tl: 0.750 0.250 0.750
Tl: 0.750 0.750 0.250
In: 0.250 0.250 0.750
In: 0.250 0.750 0.250
In: 0.750 0.250 0.250
In: 0.750 0.750 0.750

No. 4
SrTbZnIn after structural relaxation, computed with PBE-GGA.

## Properties
Theoretical density = 6.254 Mg/m³
Total energy = -2.88 eV/atom
Crystal system = cubic
Energy of formation from the pure elements = -0.2948 eV per atom
Total moment = 0.0000 μB/atom

abc: 7.681 7.681 7.681
angles: 90.00 90.00 90.00
Fractional coordinates of all 16 atoms:
Sr: 0.000 0.000 0.000
Sr: 0.000 0.500 0.500
Sr: 0.500 0.000 0.500
Sr: 0.500 0.500 0.000
Tb: 0.000 0.000 0.500
Tb: 0.000 0.500 0.000
Tb: 0.500 0.000 0.000
Tb: 0.500 0.500 0.500
Zn: 0.250 0.250 0.750
Zn: 0.250 0.750 0.250
Zn: 0.750 0.250 0.250
Zn: 0.750 0.750 0.750
In: 0.250 0.250 0.250
In: 0.250 0.750 0.750
In: 0.750 0.250 0.750
In: 0.750 0.750 0.250

No. 5
SrIn2Tc after structural relaxation, computed with PBE-GGA.

## Properties
Theoretical density = 7.123 Mg/m³
Total energy = -3.96 eV/atom
Crystal system = tetragonal
Energy of formation from the pure elements = 0.4193 eV per atom
E above lowest polymorph = 336 meV per atom
Total moment = 0.3773 μB/atom

abc: 4.515 4.515 9.496
angles: 90.00 90.00 90.00
Fractional coordinates of all 8 atoms:
Sr: 0.000 0.000 0.000
Sr: 0.500 0.500 0.500
In: 0.000 0.000 0.500
In: 0.000 0.500 0.750
In: 0.500 0.000 0.250
In: 0.500 0.500 0.000
Tc: 0.000 0.500 0.250
Tc: 0.500 0.000 0.750

No. 6
SrIn2Tc after structural relaxation, computed with PBE-GGA.

## Properties
Theoretical density = 5.257 Mg/m³
Total energy = -3.89 eV/atom
Crystal system = tetragonal
Energy of formation from the pure elements = 0.4915 eV per atom
E above lowest polymorph = 408 meV per atom
Total moment = 0.2850 μB/atom

abc: 5.366 5.366 18.217
angles: 90.00 90.00 90.00
Fractional coordinates of all 16 atoms:
Sr: 0.000 0.000 0.000
Sr: 0.000 0.500 0.250
Sr: 0.500 0.000 0.750
Sr: 0.500 0.500 0.500
In: 0.092 0.250 0.625
In: 0.250 0.592 0.875
In: 0.250 0.908 0.375
In: 0.408 0.250 0.125
In: 0.592 0.750 0.125
In: 0.750 0.092 0.375
In: 0.750 0.408 0.875
In: 0.908 0.750 0.625
Tc: 0.000 0.000 0.500
Tc: 0.000 0.500 0.750
Tc: 0.500 0.000 0.250
Tc: 0.500 0.500 0.000